A plane-wave DFT calculation with PBE was carried out for a geometry-optimized TbNdAgSb structure.

Properties
For the formation energy from raw total energies, the calculation gives -0.574 eV per atom. The calculated total energy is -4.667 eV per atom. Its volume is 26.507 Å³/atom.

Lattice parameters (Å, degrees): 7.513 7.513 7.513 90.00 90.00 90.00
Space group F-43m (No. 216)
Asymmetric unit:
Tb 0.000 0.000 0.000
Nd 0.000 0.000 0.500
Ag 0.250 0.250 0.750
Sb 0.250 0.250 0.250

***

A plane-wave DFT calculation with PBE was carried out for a geometry-optimized Tm7Ga2Ir2 structure.

Properties
The calculated total energy is -5.499 eV per atom. Its volume is 26.200 Å³/atom. The formation energy from the elements is -5.409 eV per formula unit.

Lattice parameters (Å, degrees): 7.895 10.595 6.891 90.00 90.00 90.00
Space group Cmmm (No. 65)
Asymmetric unit:
Tm 0.000 0.000 0.000
Tm 0.000 0.500 0.251
Tm 0.250 0.250 0.258
Ga 0.170 0.000 0.500
Ir 0.000 0.289 0.000

***

Taking the records one at a time from the top gives D(E_F) values of 18.67, 19.83 states/eV per cell.